Compound: Ti2Nb2Cu
Source: Alexandria
Functional: PBE-GGA
Structure: relaxed

Values from the calculation:
The total magnetization comes out at 0.00 Bohr magnetons per cell. As for the space group: P4/mbm. The calculation puts the formation energy at 0.3125 eV per atom.

a b c (Å): 6.925 6.925 3.670
angles (deg): 90.00 90.00 90.00
Element x y z (fractional)
Nb (0.138, 0.362, 0.000)
Ti (0.165, 0.665, 0.500)
Nb (0.862, 0.638, 0.000)
Cu (0.500, 0.500, 0.000)
Ti (0.335, 0.165, 0.500)
Ti (0.665, 0.835, 0.500)
Nb (0.638, 0.138, 0.000)
Cu (0.000, 0.000, 0.000)
Ti (0.835, 0.335, 0.500)
Nb (0.362, 0.862, 0.000)



Compound: TiNbCu3
Source: Alexandria
Functional: PBE-GGA
Structure: relaxed

Values from the calculation:
The total magnetization comes out at 0.67 Bohr magnetons per cell. As for the space group: Pm-3m. The calculation puts the formation energy at 1.1718 eV per atom.

a b c (Å): 4.410 4.410 4.410
angles (deg): 90.00 90.00 90.00
Each line ends with the local moment (μB).
Element x y z (fractional)
Cu (0.500, 0.000, 0.000)  0.05
Cu (0.000, 0.500, 0.000)  0.02
Nb (0.500, 0.500, 0.500)  -0.19
Ti (0.000, 0.000, 0.000)  0.71
Cu (0.000, 0.000, 0.500)  0.03



Compound: Ti3NbCu
Source: Alexandria
Functional: PBE-GGA
Structure: relaxed

Values from the calculation:
The total magnetization comes out at 1.21 Bohr magnetons per cell. As for the space group: Pm-3m. The calculation puts the formation energy at 1.1544 eV per atom.

a b c (Å): 4.749 4.749 4.749
angles (deg): 90.00 90.00 90.00
Each line ends with the local moment (μB).
Element x y z (fractional)
Ti (0.500, 0.000, 0.000)  0.39
Ti (0.000, 0.500, 0.000)  0.33
Nb (0.000, 0.000, 0.000)  0.01
Ti (0.000, 0.000, 0.500)  0.19
Cu (0.500, 0.500, 0.500)  0.01



Compound: TiNb2Cu2
Source: Alexandria
Functional: PBE-GGA
Structure: relaxed

Values from the calculation:
The total magnetization comes out at 0.01 Bohr magnetons per cell. As for the space group: I4/mmm. The calculation puts the formation energy at 0.3404 eV per atom.

a b c (Å): 3.800 3.800 6.452
angles (deg): 72.87 72.87 90.00
Element x y z (fractional)
Cu (0.406, 0.406, 0.189)
Cu (0.594, 0.594, 0.811)
Nb (0.750, 0.250, 0.500)
Nb (0.250, 0.750, 0.500)
Ti (0.000, 0.000, 0.000)



Compound: TiNb3Cu
Source: Alexandria
Functional: PBE-GGA
Structure: relaxed

Values from the calculation:
The total magnetization comes out at 0.00 Bohr magnetons per cell. As for the space group: Pm-3m. The calculation puts the formation energy at 1.3603 eV per atom.

a b c (Å): 4.661 4.661 4.661
angles (deg): 90.00 90.00 90.00
Element x y z (fractional)
Ti (0.000, 0.000, 0.000)
Cu (0.500, 0.500, 0.500)
Nb (0.000, 0.000, 0.500)
Nb (0.500, 0.000, 0.000)
Nb (0.000, 0.500, 0.000)



Compound: Ti4NbCu
Source: Alexandria
Functional: PBE-GGA
Structure: relaxed

Values from the calculation:
The total magnetization comes out at 0.00 Bohr magnetons per cell. As for the space group: P4/mmm. The calculation puts the formation energy at 0.5176 eV per atom.

a b c (Å): 4.377 4.378 5.898
angles (deg): 90.00 90.00 90.00
Element x y z (fractional)
Ti (0.497, 0.001, 0.757)
Ti (0.997, 0.501, 0.247)
Cu (0.497, 0.501, 0.002)
Nb (0.997, 0.001, 0.502)
Ti (0.497, 0.001, 0.247)
Ti (0.997, 0.501, 0.757)



Compound: Ti2Nb2Cu
Source: Alexandria
Functional: PBE-GGA
Structure: relaxed

Values from the calculation:
The total magnetization comes out at 0.00 Bohr magnetons per cell. As for the space group: P4/mbm. The calculation puts the formation energy at 0.2185 eV per atom.

a b c (Å): 6.756 6.756 3.727
angles (deg): 90.00 90.00 90.00
Element x y z (fractional)
Nb (0.668, 0.832, 0.500)
Nb (0.168, 0.668, 0.500)
Nb (0.832, 0.332, 0.500)
Ti (0.137, 0.363, 0.000)
Ti (0.363, 0.863, 0.000)
Ti (0.637, 0.137, 0.000)
Cu (0.500, 0.500, 0.000)
Cu (0.000, 0.000, 0.000)
Ti (0.863, 0.637, 0.000)
Nb (0.332, 0.168, 0.500)



Compound: TiNbVCu
Source: Alexandria
Functional: PBE-GGA
Structure: relaxed

Values from the calculation:
The total magnetization comes out at 0.00 Bohr magnetons per cell. As for the space group: F-43m. The calculation puts the formation energy at 0.0846 eV per atom.

a b c (Å): 4.411 4.411 4.411
angles (deg): 60.00 60.00 60.00
Element x y z (fractional)
Cu (0.250, 0.250, 0.250)
Ti (0.500, 0.500, 0.500)
Nb (0.000, 0.000, 0.000)
V (0.750, 0.750, 0.750)



Compound: TiNbCu2W
Source: Alexandria
Functional: PBE-GGA
Structure: relaxed

Values from the calculation:
The total magnetization comes out at 0.00 Bohr magnetons per cell. As for the space group: P4/mmm. The calculation puts the formation energy at 1.3662 eV per atom.

a b c (Å): 4.417 4.417 4.568
angles (deg): 90.00 90.00 90.00
Element x y z (fractional)
Cu (0.500, 0.000, 0.000)
W (0.000, 0.000, 0.500)
Nb (0.500, 0.500, 0.500)
Ti (0.000, 0.000, 0.000)
Cu (0.000, 0.500, 0.000)



Compound: TiNbCuW
Source: Alexandria
Functional: PBE-GGA
Structure: relaxed

Values from the calculation:
The total magnetization comes out at 0.00 Bohr magnetons per cell. As for the space group: F-43m. The calculation puts the formation energy at 0.0521 eV per atom.

a b c (Å): 4.483 4.483 4.483
angles (deg): 60.00 60.00 60.00
Element x y z (fractional)
Ti (0.250, 0.250, 0.250)
W (0.000, 0.000, 0.000)
Nb (0.750, 0.750, 0.750)
Cu (0.500, 0.500, 0.500)



Compound: TiNbZnCu
Source: Alexandria
Functional: PBE-GGA
Structure: relaxed

Values from the calculation:
The total magnetization comes out at 0.00 Bohr magnetons per cell. As for the space group: F-43m. The calculation puts the formation energy at 0.0101 eV per atom.

a b c (Å): 4.440 4.440 4.440
angles (deg): 60.00 60.00 60.00
Element x y z (fractional)
Zn (0.000, 0.000, 0.000)
Cu (0.500, 0.500, 0.500)
Nb (0.750, 0.750, 0.750)
Ti (0.250, 0.250, 0.250)



Compound: TiNbZnCu
Source: Alexandria
Functional: PBE-GGA
Structure: relaxed

Values from the calculation:
The total magnetization comes out at 2.47 Bohr magnetons per cell. As for the space group: F-43m. The calculation puts the formation energy at 0.2333 eV per atom.

a b c (Å): 4.475 4.475 4.472
angles (deg): 59.98 59.98 60.00
Each line ends with the local moment (μB).
Element x y z (fractional)
Zn (0.944, 0.944, 0.169)  0.01
Nb (0.694, 0.694, 0.919)  1.12
Ti (0.443, 0.443, 0.670)  0.94
Cu (0.193, 0.193, 0.420)  0.07



Compound: Ti2NbZn5Cu2
Source: Alexandria
Functional: PBE-GGA
Structure: relaxed

Values from the calculation:
The total magnetization comes out at 0.00 Bohr magnetons per cell. As for the space group: P4/mbm. The calculation puts the formation energy at -0.1011 eV per atom.

a b c (Å): 4.097 8.523 8.523
angles (deg): 90.00 90.00 90.00
Element x y z (fractional)
Nb (0.000, 0.000, 0.000)
Zn (0.500, 0.500, 0.000)
Cu (0.000, 0.884, 0.384)
Nb (0.000, 0.500, 0.500)
Zn (0.500, 0.437, 0.291)
Cu (0.000, 0.384, 0.116)
Zn (0.500, 0.000, 0.500)
Ti (0.000, 0.680, 0.180)
Zn (0.500, 0.563, 0.709)
Zn (0.500, 0.209, 0.063)
Ti (0.000, 0.180, 0.320)
Cu (0.000, 0.616, 0.884)
Zn (0.500, 0.063, 0.791)
Ti (0.000, 0.820, 0.680)
Zn (0.500, 0.937, 0.209)
Zn (0.500, 0.791, 0.937)
Ti (0.000, 0.320, 0.820)
Cu (0.000, 0.116, 0.616)
Zn (0.500, 0.709, 0.437)
Zn (0.500, 0.291, 0.563)



Compound: NbTl2Cu
Source: Alexandria
Functional: PBE-GGA
Structure: relaxed

Values from the calculation:
The total magnetization comes out at 1.92 Bohr magnetons per cell. As for the space group: Fm-3m. The calculation puts the formation energy at 0.6543 eV per atom.

a b c (Å): 4.881 4.881 4.881
angles (deg): 60.00 60.00 60.00
Each line ends with the local moment (μB).
Element x y z (fractional)
Cu (0.000, 0.000, 0.000)  0.00
Nb (0.500, 0.500, 0.500)  1.63
Tl (0.750, 0.750, 0.750)  0.01
Tl (0.250, 0.250, 0.250)  0.01



Compound: NbTl3Cu
Source: Alexandria
Functional: PBE-GGA
Structure: relaxed

Values from the calculation:
The total magnetization comes out at 3.11 Bohr magnetons per cell. As for the space group: Pm-3m. The calculation puts the formation energy at 0.9496 eV per atom.

a b c (Å): 5.117 5.117 5.117
angles (deg): 90.00 90.00 90.00
Each line ends with the local moment (μB).
Element x y z (fractional)
Tl (0.000, 0.000, 0.500)  -0.02
Tl (0.000, 0.500, 0.000)  0.00
Tl (0.500, 0.000, 0.000)  0.00
Cu (0.000, 0.000, 0.000)  0.00
Nb (0.500, 0.500, 0.500)  2.50



Compound: Nb3TlCu
Source: Alexandria
Functional: PBE-GGA
Structure: relaxed

Values from the calculation:
The total magnetization comes out at 0.00 Bohr magnetons per cell. As for the space group: Pm-3m. The calculation puts the formation energy at 0.9530 eV per atom.

a b c (Å): 4.707 4.707 4.707
angles (deg): 90.00 90.00 90.00
Element x y z (fractional)
Cu (0.000, 0.000, 0.000)
Nb (0.500, 0.000, 0.000)
Tl (0.500, 0.500, 0.500)
Nb (0.000, 0.500, 0.000)
Nb (0.000, 0.000, 0.500)



Compound: Nb3TlCu
Source: Alexandria
Functional: PBE-GGA
Structure: relaxed

Values from the calculation:
The total magnetization comes out at 0.99 Bohr magnetons per cell. As for the space group: Pm-3m. The calculation puts the formation energy at 2.2992 eV per atom.

a b c (Å): 5.106 5.106 5.106
angles (deg): 90.00 90.00 90.00
Each line ends with the local moment (μB).
Element x y z (fractional)
Nb (0.500, 0.000, 0.000)  0.36
Cu (0.500, 0.500, 0.500)  0.02
Tl (0.000, 0.000, 0.000)  0.00
Nb (0.000, 0.000, 0.500)  0.18
Nb (0.000, 0.500, 0.000)  0.21



Compound: NbTl2Cu
Source: Alexandria
Functional: PBE-GGA
Structure: relaxed

Values from the calculation:
The total magnetization comes out at 0.00 Bohr magnetons per cell. As for the space group: I-42d. The calculation puts the formation energy at 0.6109 eV per atom.

a b c (Å): 7.506 7.506 6.096
angles (deg): 52.00 52.00 90.00
Element x y z (fractional)
Cu (0.500, 0.500, 0.000)
Tl (0.593, 0.125, 0.250)
Nb (0.750, 0.250, 0.500)
Tl (0.375, 0.407, 0.750)
Nb (0.000, 0.000, 0.000)
Tl (0.157, 0.625, 0.250)
Tl (0.875, 0.843, 0.750)
Cu (0.250, 0.750, 0.500)



Compound: NbTl3Cu
Source: Alexandria
Functional: PBE-GGA
Structure: relaxed

Values from the calculation:
The total magnetization comes out at 0.00 Bohr magnetons per cell. As for the space group: Pm-3m. The calculation puts the formation energy at 1.0187 eV per atom.

a b c (Å): 5.518 5.518 5.518
angles (deg): 90.00 90.00 90.00
Element x y z (fractional)
Nb (0.000, 0.000, 0.000)
Tl (0.000, 0.000, 0.500)
Tl (0.500, 0.000, 0.000)
Tl (0.000, 0.500, 0.000)
Cu (0.500, 0.500, 0.500)



Compound: TmNbCu4
Source: Alexandria
Functional: PBE-GGA
Structure: relaxed

Values from the calculation:
The total magnetization comes out at 1.60 Bohr magnetons per cell. As for the space group: F-43m. The calculation puts the formation energy at 0.0249 eV per atom.

a b c (Å): 5.066 5.066 5.066
angles (deg): 60.00 60.00 60.00
Each line ends with the local moment (μB).
Element x y z (fractional)
Cu (0.624, 0.624, 0.127)  0.03
Nb (0.250, 0.250, 0.250)  1.19
Cu (0.127, 0.624, 0.624)  0.03
Cu (0.624, 0.624, 0.624)  0.03
Cu (0.624, 0.127, 0.624)  0.03
Tm (0.000, 0.000, 0.000)  0.20